(1)
Entry from OQMD via LeMat-Bulk: a relaxed structure of ZnPtNO (PBE-GGA).

extended XYZ file:
```
8
Lattice="4.4881 0.0000 0.0000 0.0000 4.4881 0.0000 0.0000 0.0000 4.2782" Properties=species:S:1:pos:R:3 pbc="T T T"
Zn 1.1220 3.3661 0.0000
Zn 3.3661 1.1220 0.0000
Pt 1.1220 1.1220 2.1263
Pt 3.3661 3.3661 2.1519
N 1.1220 1.1220 4.2603
N 3.3661 3.3661 0.0179
O 1.1220 3.3661 2.1391
O 3.3661 1.1220 2.1391
```

Summary:
space group = P4/nmm (129)

(2)
Entry from OQMD via LeMat-Bulk: a relaxed structure of ZnPtNO (PBE-GGA).

extended XYZ file:
```
8
Lattice="3.2330 0.0000 0.0000 0.0000 6.2278 0.0000 0.0000 0.0000 4.9838" Properties=species:S:1:pos:R:3 pbc="T T T"
Zn 0.0000 0.8527 0.0000
Zn 0.0000 5.3751 2.4919
Pt 1.6165 2.5605 2.4856
Pt 1.6165 3.6673 4.9775
N 1.6165 1.8272 4.3329
N 1.6165 4.4006 1.8410
O 0.0000 1.0379 1.9790
O 0.0000 5.1898 4.4709
```

Summary:
space group = Pmc2_1 (26)

(3)
Entry from OQMD via LeMat-Bulk: a relaxed structure of ZnPtNO (PBE-GGA).

extended XYZ file:
```
8
Lattice="2.9438 0.0000 0.0000 0.0000 5.9130 0.0000 0.0000 0.0000 5.7477" Properties=species:S:1:pos:R:3 pbc="T T T"
Zn 0.0000 1.0343 0.0000
Zn 0.0000 4.8788 2.8739
Pt 1.4719 1.6060 2.6861
Pt 1.4719 4.3070 5.5600
N 0.0000 0.7929 3.7830
N 0.0000 5.1201 0.9091
O 1.4719 2.1875 0.7055
O 1.4719 3.7255 3.5793
```

Summary:
space group = Pmc2_1 (26)

Pick the least stable structure from those above. Pick: (1)